# 1
A relaxed structure of Ho3FeCo3. Source: Alexandria, functional GGA-PBE.

a = 3.917 Å, b = 10.158 Å, c = 12.729 Å
α = 90.00°, β = 90.00°, γ = 90.00°
Space group Cmcm (No. 63)
Symmetry-distinct sites (fractional):
Ho1 0.000 0.000 0.250 x4
Ho2 0.000 0.287 0.104 x8
Fe1 0.000 0.000 0.000 x4
Co1 0.000 0.305 0.750 x4
Co2 0.000 0.427 0.590 x8

Computed properties:
Calculated total energy   -180.1 eV per cell
E_form   -0.2160 eV/atom

***

# 2
A relaxed structure of Ho2FeCo2. Source: Alexandria, functional GGA-PBE.

a = 9.129 Å, b = 5.365 Å, c = 7.349 Å
α = 90.00°, β = 102.82°, γ = 90.00°
Space group C2/c (No. 15)
Symmetry-distinct sites (fractional):
Ho1 0.149 0.131 0.149 x8
Fe1 0.000 0.382 0.750 x4
Co1 0.133 0.364 0.501 x8

Computed properties:
Calculated total energy   -131.0 eV per cell
E_form   -0.1864 eV/atom

***

# 3
A relaxed structure of HoFeCo. Source: Alexandria, functional GGA-PBE.

a = 3.8517 Å, b = 3.8517 Å, c = 4.0445 Å
α = 90.00°, β = 90.00°, γ = 120.00°
Space group P-6m2 (No. 187)
Symmetry-distinct sites (fractional):
Ho1 0.0000 0.0000 0.0000 x1
Fe1 0.3333 0.6667 0.5000 x1
Co1 0.6667 0.3333 0.5000 x1

Computed properties:
Calculated total energy   -20.5 eV per cell
E_form   -0.1192 eV/atom

***

# 4
A relaxed structure of HoFe4Co. Source: Alexandria, functional GGA-PBE.

a = 6.965 Å, b = 6.965 Å, c = 6.965 Å
α = 90.00°, β = 90.00°, γ = 90.00°
Space group F-43m (No. 216)
Symmetry-distinct sites (fractional):
Ho1 0.000 0.000 0.000 x4
Fe1 0.124 0.124 0.624 x16
Co1 0.250 0.250 0.250 x4

Computed properties:
Calculated total energy   -181.4 eV per cell
E_form   0.0322 eV/atom

***

# 5
A relaxed structure of HoFeCo. Source: Alexandria, functional GGA-PBE.

a = 5.077 Å, b = 5.226 Å, c = 7.078 Å
α = 90.00°, β = 90.00°, γ = 90.00°
Space group Imma (No. 74)
Symmetry-distinct sites (fractional):
Ho1 0.000 0.250 0.126 x4
Fe1 0.250 0.250 0.750 x4
Co1 0.000 0.000 0.500 x4

Computed properties:
Calculated total energy   -82.8 eV per cell
E_form   -0.1870 eV/atom

***

# 6
A relaxed structure of Ho8FeCo2. Source: Alexandria, functional GGA-PBE.

a = 8.014 Å, b = 12.202 Å, c = 5.954 Å
α = 90.00°, β = 109.46°, γ = 90.00°
Space group Cm (No. 8)
Symmetry-distinct sites (fractional):
Ho1 0.000 0.000 0.000 x2
Ho2 0.058 0.370 0.792 x4
Ho3 0.139 0.132 0.593 x4
Ho4 0.211 0.500 0.372 x2
Ho5 0.355 0.207 0.181 x4
Fe1 0.361 0.000 0.015 x2
Co1 0.349 0.311 0.696 x4

Computed properties:
Calculated total energy   -118.4 eV per cell
E_form   0.0067 eV/atom

***

# 7
A relaxed structure of Ho2FeCo3. Source: Alexandria, functional GGA-PBE.

a = 5.1530 Å, b = 5.1530 Å, c = 8.0487 Å
α = 90.00°, β = 90.00°, γ = 120.00°
Space group P6_3/mmc (No. 194)
Symmetry-distinct sites (fractional):
Ho1 0.3333 0.6667 0.0617 x4
Fe1 0.0000 0.0000 0.0000 x2
Co1 0.1673 0.3347 0.7500 x6

Computed properties:
Calculated total energy   -80.2 eV per cell
E_form   -0.1917 eV/atom

***

# 8
A relaxed structure of HoFe2Co9. Source: Alexandria, functional GGA-PBE.

a = 8.005 Å, b = 8.005 Å, c = 4.674 Å
α = 90.00°, β = 90.00°, γ = 90.00°
Space group P4/mbm (No. 127)
Symmetry-distinct sites (fractional):
Ho1 0.000 0.000 0.000 x2
Fe1 0.116 0.384 0.000 x4
Co1 0.000 0.500 0.500 x2
Co2 0.065 0.213 0.500 x8
Co3 0.179 0.679 0.235 x8

Computed properties:
Calculated total energy   -172.9 eV per cell
E_form   -0.0826 eV/atom

***

Which value of calculated total energy does entry 5 give?
-82.8 eV per cell

***

What is the calculated total energy in the seventh record?
-80.2 eV per cell